No. 1
# Ti3NbBi2

A relaxed Ti3NbBi2 crystal (PBE-GGA, the Alexandria database).

Values from the calculation:
The spin magnetization is 0.00 μB per cell. The space group is Cmmm (65). The formation enthalpy at 0 K comes out at 0.055 eV/f.u.

POSCAR file:
```
Ti3NbBi2
1.0
2.4871 -7.5493 0.0000
2.4871 7.5493 0.0000
0.0000 0.0000 6.3694
Ti Nb Bi
6 2 4
Direct
0.0000 0.0000 0.2352
0.0000 0.0000 0.7648
0.3244 0.6756 0.2674
0.3244 0.6756 0.7326
0.6756 0.3244 0.2674
0.6756 0.3244 0.7326
0.1664 0.8336 0.5000
0.8336 0.1664 0.5000
0.1654 0.8346 0.0000
0.5000 0.5000 0.0000
0.5000 0.5000 0.5000
0.8346 0.1654 0.0000
```

No. 2
# CoAuBr4

A relaxed CoAuBr4 crystal (PBE-GGA, the Alexandria database).

Values from the calculation:
The spin magnetization is 8.06 μB per cell. For the uncorrected formation energy, the calculation gives -0.16 eV per atom. The space group is I4_1/a (88).

POSCAR file:
```
CoAuBr4
1.0
-2.9100 2.9100 11.9864
2.9100 -2.9100 11.9864
2.9100 2.9100 -11.9864
Co Au Br
2 2 8
Direct
0.3750 0.1250 0.2500
0.6250 0.8750 0.7500
0.1250 0.3750 0.7500
0.8750 0.6250 0.2500
0.0894 0.8385 0.7956
0.2061 0.4106 0.2490
0.3385 0.0429 0.7490
0.4571 0.7061 0.2956
0.5429 0.2939 0.7044
0.6615 0.9571 0.2510
0.7939 0.5894 0.7510
0.9106 0.1615 0.2044
```

No. 3
# RbLiSn3

A relaxed RbLiSn3 crystal (PBE-GGA, the Alexandria database).

Values from the calculation:
The spin magnetization is 0.00 μB per cell. The space group is Pm-3m (221). The formation enthalpy at 0 K comes out at 5.493 eV/f.u.

POSCAR file:
```
RbLiSn3
1.0
6.1340 0.0000 0.0000
0.0000 6.1340 0.0000
0.0000 0.0000 6.1340
Rb Li Sn
1 1 3
Direct
0.0000 0.0000 0.0000
0.5000 0.5000 0.5000
0.0000 0.0000 0.5000
0.0000 0.5000 0.0000
0.5000 0.0000 0.0000
```

No. 4
# CsAgCl2

A relaxed CsAgCl2 crystal (PBE-GGA, the Alexandria database).

Values from the calculation:
The spin magnetization is 0.00 μB per cell. For the uncorrected formation energy, the calculation gives -0.83 eV per atom. The space group is R-3m (166).

POSCAR file:
```
CsAgCl2
1.0
2.2042 1.2726 8.8373
-2.2042 1.2726 8.8373
0.0000 -2.5452 8.8373
Cs Ag Cl
1 1 2
Direct
0.0000 0.0000 0.0000
0.5000 0.5000 0.5000
0.1162 0.1162 0.1162
0.8838 0.8838 0.8838
```